1.
Density functional theory data (PBE) for TePbCl4 after structural relaxation.

POSCAR file:
```
TePbCl4
1.0
0.000 4.294 4.294
4.294 0.000 4.294
4.294 4.294 0.000
Te Pb Cl
1 1 4
direct
0.000 0.000 0.000
0.250 0.250 0.250
0.127 0.624 0.624
0.624 0.127 0.624
0.624 0.624 0.127
0.624 0.624 0.624
```

Values from the calculation:
E   -0.1553 Ry/atom
Energy relative to the elements, uncorrected   0.26 eV/atom

2.
Density functional theory data (PBE) for TePbCl2 after structural relaxation.

POSCAR file:
```
TePbCl2
1.0
4.688 0.000 0.000
0.000 4.701 0.000
0.000 0.000 7.047
Te Pb Cl
1 1 2
direct
0.000 0.000 0.000
0.500 0.500 0.983
0.000 0.000 0.663
0.500 0.500 0.342
```

Values from the calculation:
E   -0.2328 Ry/atom
Energy relative to the elements, uncorrected   -0.53 eV/atom
Relative energy among the computed polymorphs   0.031 eV per atom

3.
Density functional theory data (PBE) for TePbCl2 after structural relaxation.

POSCAR file:
```
TePbCl2
1.0
3.748 0.000 0.000
0.000 3.748 0.000
0.000 0.000 8.294
Te Pb Cl
1 1 2
direct
0.000 0.000 0.000
0.500 0.500 0.720
0.000 0.000 0.544
0.500 0.500 0.187
```

Values from the calculation:
E   -0.2160 Ry/atom
Energy relative to the elements, uncorrected   -0.30 eV/atom
Relative energy among the computed polymorphs   0.260 eV per atom

4.
Density functional theory data (PBE) for TePbCl2 after structural relaxation.

POSCAR file:
```
TePbCl2
1.0
1.917 1.107 11.721
-1.917 1.107 11.721
0.000 -2.214 11.721
Te Pb Cl
1 1 2
direct
0.000 0.000 0.000
0.500 0.500 0.500
0.219 0.219 0.219
0.781 0.781 0.781
```

Values from the calculation:
E   -0.2254 Ry/atom
Energy relative to the elements, uncorrected   -0.43 eV/atom
Relative energy among the computed polymorphs   0.133 eV per atom

5.
Density functional theory data (PBE) for Te3PbCl after structural relaxation.

POSCAR file:
```
Te3PbCl
1.0
5.457 0.000 0.000
0.000 5.457 0.000
0.000 0.000 5.457
Te Pb Cl
3 1 1
direct
0.000 0.000 0.500
0.000 0.500 0.000
0.500 0.000 0.000
0.500 0.500 0.500
0.000 0.000 0.000
```

Values from the calculation:
E   -0.1919 Ry/atom
Energy relative to the elements, uncorrected   0.39 eV/atom
Relative energy among the computed polymorphs   0.000 eV per atom

6.
Density functional theory data (PBE) for TePbCl2 after structural relaxation.

POSCAR file:
```
TePbCl2
1.0
4.717 0.000 0.000
0.000 5.181 0.000
-2.283 0.000 4.963
Te Pb Cl
1 1 2
direct
0.000 0.000 0.000
0.391 0.500 0.901
0.230 0.000 0.484
0.709 0.500 0.455
```

Values from the calculation:
E   -0.2351 Ry/atom
Energy relative to the elements, uncorrected   -0.56 eV/atom
Relative energy among the computed polymorphs   0.000 eV per atom